# TbYIn2Ni4

A relaxed structure of TbYIn2Ni4 (PBE-GGA, OQMD via LeMat-Bulk).

Structure (POSCAR):
```
TbYIn2Ni4
1.0
-1.074 -4.278 -0.300
3.281 1.634 -2.472
5.555 -1.828 6.165
In Y Ni Tb
2 1 4 1
Direct
0.667 0.333 0.251 In
0.667 0.333 0.749 In
0.333 0.667 0.500 Y
0.000 0.000 0.335 Ni
0.333 0.667 0.836 Ni
0.000 0.000 0.665 Ni
0.333 0.667 0.164 Ni
0.000 0.000 0.000 Tb
```

Values from the calculation:
**Symmetry**: P-6m2, No. 187
**E**: -0.1933 Ha/atom
**Energy relative to the lowest polymorph listed for this composition**: 1.175 kcal/mol of atoms



# Tb2ZnIn3Ni2

A relaxed structure of Tb2ZnIn3Ni2 (PBE-GGA, OQMD via LeMat-Bulk).

Structure (POSCAR):
```
Tb2ZnIn3Ni2
1.0
5.046 -2.139 0.000
5.046 2.139 0.000
-0.049 0.000 7.455
In Tb Ni Zn
3 2 2 1
Direct
0.644 0.644 0.048 In
0.645 0.645 0.451 In
0.356 0.356 0.556 In
0.932 0.932 0.237 Tb
0.065 0.065 0.759 Tb
0.786 0.786 0.757 Ni
0.221 0.221 0.244 Ni
0.350 0.350 0.947 Zn
```

Values from the calculation:
**Symmetry**: Cm, No. 8
**E**: -0.1529 Ha/atom



# InTcNiW

A relaxed structure of InTcNiW (PBE-GGA, OQMD via LeMat-Bulk).

Structure (POSCAR):
```
InTcNiW
1.0
-2.242 0.801 3.713
-4.349 0.716 -0.161
-2.793 -3.023 1.586
Ni Tc W In
1 1 1 1
Direct
0.750 0.750 0.750 Ni
0.250 0.250 0.250 Tc
0.500 0.500 0.500 W
0.000 0.000 0.000 In
```

Values from the calculation:
**Symmetry**: F-43m, No. 216
**E**: -0.2816 Ha/atom



- Which of these has the highest E?
  Tb2ZnIn3Ni2